First-principles (PBEsol) data for an optimized crystal structure of HoAg2, as listed in Alexandria.

Results
Calculated formation energy in eV/atom: -0.344

a = 3.6490 Å, b = 3.6490 Å, c = 9.0424 Å
α = 90.00°, β = 90.00°, γ = 90.00°
With the nearest neighbours (Å) after each atom.
Space group I4/mmm (No. 139)
Symmetry-distinct sites (fractional):
Ho  0.0000  0.0000  0.0000 (multiplicity 2)  10 Ag 2.98-3.00
Ag  0.0000  0.0000  0.3297 (multiplicity 4)  5 Ag 2.96-3.08, 5 Ho 2.98-3.00

First-principles (PBEsol) data for an optimized crystal structure of HoAg, as listed in Alexandria.

Results
Calculated formation energy in eV/atom: -0.340

a = 3.5523 Å, b = 3.5523 Å, c = 3.5523 Å
α = 90.00°, β = 90.00°, γ = 90.00°
With the nearest neighbours (Å) after each atom.
Space group Pm-3m (No. 221)
Symmetry-distinct sites (fractional):
Ho  0.0000  0.0000  0.0000 (multiplicity 1)  8 Ag 3.08
Ag  0.5000  0.5000  0.5000 (multiplicity 1)  8 Ho 3.08

First-principles (PBEsol) data for an optimized crystal structure of Ho14Ag51, as listed in Alexandria.

Results
Calculated formation energy in eV/atom: -0.256

a = 12.4561 Å, b = 12.4561 Å, c = 9.1407 Å
α = 90.00°, β = 90.00°, γ = 120.00°
With the nearest neighbours (Å) after each atom.
Space group P-6 (No. 174)
Symmetry-distinct sites (fractional):
Ho  0.0000  0.0000  0.1924 (multiplicity 2)  15 Ag 2.97-3.23
Ho  0.1145  0.7305  0.5000 (multiplicity 3)  14 Ag 3.04-3.30
Ho  0.1402  0.4703  0.0000 (multiplicity 3)  14 Ag 3.02-3.23
Ho  0.3988  0.1131  0.5000 (multiplicity 3)  12 Ag 2.94-3.18
Ho  0.4655  0.3267  0.0000 (multiplicity 3)  14 Ag 3.03-3.39
Ag  0.0567  0.8217  0.0000 (multiplicity 3)  8 Ag 2.66-2.88
Ag  0.0781  0.2724  0.2572 (multiplicity 6)  8 Ag 2.73-2.96, 1 Ho 3.04
Ag  0.1032  0.6665  0.1668 (multiplicity 6)  7 Ag 2.74-3.05, 2 Ho 3.03-3.05
Ag  0.1150  0.4977  0.3482 (multiplicity 6)  7 Ag 2.74-2.96
Ag  0.1277  0.0017  0.5000 (multiplicity 3)  6 Ag 2.73-2.90, 1 Ho 2.94
Ag  0.2408  0.0599  0.0000 (multiplicity 3)  8 Ag 2.66-2.90
Ag  0.2590  0.1848  0.2741 (multiplicity 6)  7 Ag 2.74-2.96, 1 Ho 2.97
Ag  0.3333  0.6667  0.1962 (multiplicity 2)  7 Ag 2.78-2.88, 3 Ho 3.02
Ag  0.3333  0.6667  0.5000 (multiplicity 1)  8 Ag 2.78-2.83
Ag  0.4421  0.1048  0.1672 (multiplicity 6)  7 Ag 2.74-3.07, 2 Ho 3.04-3.06
Ag  0.4898  0.3737  0.3468 (multiplicity 6)  7 Ag 2.74-2.96
Ag  0.6667  0.3333  0.1958 (multiplicity 2)  7 Ag 2.78-2.85, 3 Ho 3.05
Ag  0.6667  0.3333  0.5000 (multiplicity 1)  8 Ag 2.78-2.86, 3 Ho 3.08

First-principles (PBEsol) data for an optimized crystal structure of Ho2InAg, as listed in Alexandria.

Results
Energy above the most stable polymorph in this dataset in eV/atom: 0.000
Calculated formation energy in eV/atom: -0.430

a = 3.5347 Å, b = 3.5347 Å, c = 7.5652 Å
α = 90.00°, β = 90.00°, γ = 90.00°
With the nearest neighbours (Å) after each atom.
Space group P4/mmm (No. 123)
Symmetry-distinct sites (fractional):
Ho  0.0000  0.0000  0.2366 (multiplicity 2)  4 Ag 3.07, 4 In 3.20
In  0.5000  0.5000  0.5000 (multiplicity 1)  8 Ho 3.20, 4 In 3.53
Ag  0.5000  0.5000  0.0000 (multiplicity 1)  8 Ho 3.07

First-principles (PBEsol) data for an optimized crystal structure of Ho2InAg, as listed in Alexandria.

Results
Energy above the most stable polymorph in this dataset in eV/atom: 0.009
Calculated formation energy in eV/atom: -0.421

a = 7.2611 Å, b = 7.2611 Å, c = 7.2611 Å
α = 90.00°, β = 90.00°, γ = 90.00°
With the nearest neighbours (Å) after each atom.
Space group Fm-3m (No. 225)
Symmetry-distinct sites (fractional):
Ho  0.2500  0.2500  0.2500 (multiplicity 8)  4 In 3.14, 4 Ag 3.14
In  0.0000  0.0000  0.0000 (multiplicity 4)  8 Ho 3.14
Ag  0.0000  0.0000  0.5000 (multiplicity 4)  8 Ho 3.14

First-principles (PBEsol) data for an optimized crystal structure of Ho2AgIr, as listed in Alexandria.

Results
Calculated formation energy in eV/atom: -0.620

a = 6.8795 Å, b = 6.8795 Å, c = 6.8795 Å
α = 90.00°, β = 90.00°, γ = 90.00°
With the nearest neighbours (Å) after each atom.
Space group Fm-3m (No. 225)
Symmetry-distinct sites (fractional):
Ho  0.2500  0.2500  0.2500 (multiplicity 8)  4 Ir 2.98, 4 Ag 2.98
Ag  0.0000  0.0000  0.0000 (multiplicity 4)  8 Ho 2.98
Ir  0.0000  0.0000  0.5000 (multiplicity 4)  8 Ho 2.98

First-principles (PBEsol) data for an optimized crystal structure of HoLuAg2, as listed in Alexandria.

Results
Calculated formation energy in eV/atom: -0.351

a = 7.0460 Å, b = 7.0460 Å, c = 7.0460 Å
α = 90.00°, β = 90.00°, γ = 90.00°
With the nearest neighbours (Å) after each atom.
Space group Fm-3m (No. 225)
Symmetry-distinct sites (fractional):
Ho  0.0000  0.0000  0.0000 (multiplicity 4)  8 Ag 3.05
Lu  0.0000  0.0000  0.5000 (multiplicity 4)  8 Ag 3.05
Ag  0.2500  0.2500  0.2500 (multiplicity 8)  4 Ho 3.05, 4 Lu 3.05

First-principles (PBEsol) data for an optimized crystal structure of HoMgAg, as listed in Alexandria.

Results
Calculated formation energy in eV/atom: -0.272

a = 7.5926 Å, b = 7.5926 Å, c = 4.0279 Å
α = 90.00°, β = 90.00°, γ = 120.00°
With the nearest neighbours (Å) after each atom.
Space group P-62m (No. 189)
Symmetry-distinct sites (fractional):
Ho  0.0000  0.4133  0.0000 (multiplicity 3)  5 Ag 3.05-3.14, 6 Mg 3.27-3.40
Mg  0.0000  0.7524  0.5000 (multiplicity 3)  4 Ag 2.75-2.91
Ag  0.0000  0.0000  0.0000 (multiplicity 1)  6 Mg 2.75
Ag  0.3333  0.6667  0.5000 (multiplicity 2)  3 Mg 2.91, 6 Ho 3.05

First-principles (PBEsol) data for an optimized crystal structure of Ho2AgOs, as listed in Alexandria.

Results
Calculated formation energy in eV/atom: -0.301

a = 6.8468 Å, b = 6.8468 Å, c = 6.8468 Å
α = 90.00°, β = 90.00°, γ = 90.00°
With the nearest neighbours (Å) after each atom.
Space group Fm-3m (No. 225)
Symmetry-distinct sites (fractional):
Ho  0.2500  0.2500  0.2500 (multiplicity 8)  4 Os 2.96, 4 Ag 2.96
Ag  0.0000  0.0000  0.0000 (multiplicity 4)  8 Ho 2.96
Os  0.0000  0.0000  0.5000 (multiplicity 4)  8 Ho 2.96

First-principles (PBEsol) data for an optimized crystal structure of HoAgSn, as listed in Alexandria.

Results
Calculated formation energy in eV/atom: -0.637

a = 4.6439 Å, b = 4.6439 Å, c = 7.2309 Å
α = 90.00°, β = 90.00°, γ = 120.00°
With the nearest neighbours (Å) after each atom.
Space group P6_3mc (No. 186)
Symmetry-distinct sites (fractional):
Ho  0.0000  0.0000  0.0000 (multiplicity 2)  3 Ag 3.00, 6 Sn 3.12-3.35
Ag  0.3333  0.6667  0.1858 (multiplicity 2)  4 Sn 2.76-2.95, 3 Ho 3.00
Sn  0.3333  0.6667  0.7784 (multiplicity 2)  4 Ag 2.76-2.95

First-principles (PBEsol) data for an optimized crystal structure of HoAgSn, as listed in Alexandria.

Results
Calculated formation energy in eV/atom: -0.581

a = 4.6368 Å, b = 4.6368 Å, c = 7.2400 Å
α = 90.00°, β = 90.00°, γ = 120.00°
With the nearest neighbours (Å) after each atom.
Space group P-6m2 (No. 187)
Symmetry-distinct sites (fractional):
Ho  0.0000  0.0000  0.0000 (multiplicity 1)  6 Ag 3.04, 6 Sn 3.34
Ho  0.0000  0.0000  0.5000 (multiplicity 1)  6 Sn 3.13, 6 Ag 3.45
Ag  0.3333  0.6667  0.2000 (multiplicity 2)  3 Sn 2.73, 1 Ag 2.90, 3 Ho 3.04
Sn  0.6667  0.3333  0.2748 (multiplicity 2)  3 Ag 2.73

First-principles (PBEsol) data for an optimized crystal structure of YHoAg2, as listed in Alexandria.

Results
Calculated formation energy in eV/atom: -0.340

a = 7.1288 Å, b = 7.1288 Å, c = 7.1288 Å
α = 90.00°, β = 90.00°, γ = 90.00°
With the nearest neighbours (Å) after each atom.
Space group Fm-3m (No. 225)
Symmetry-distinct sites (fractional):
Y  0.0000  0.0000  0.0000 (multiplicity 4)  8 Ag 3.09
Ho  0.0000  0.0000  0.5000 (multiplicity 4)  8 Ag 3.09
Ag  0.2500  0.2500  0.2500 (multiplicity 8)  4 Ho 3.09, 4 Y 3.09

First-principles (PBEsol) data for an optimized crystal structure of In3AgI, as listed in Alexandria.

Results
Raw formation energy in eV/atom: 0.79

a = 6.1186 Å, b = 6.1186 Å, c = 6.1186 Å
α = 90.00°, β = 90.00°, γ = 90.00°
With the nearest neighbours (Å) after each atom.
Space group Pm-3m (No. 221)
Symmetry-distinct sites (fractional):
In  0.0000  0.0000  0.5000 (multiplicity 3)  2 I 3.06
Ag  0.5000  0.5000  0.5000 (multiplicity 1)  12 In 4.33
I  0.0000  0.0000  0.0000 (multiplicity 1)  6 In 3.06

First-principles (PBEsol) data for an optimized crystal structure of K2InAgI6, as listed in Alexandria.

Results
Raw formation energy in eV/atom: -0.75

a = 11.6172 Å, b = 11.6172 Å, c = 11.6172 Å
α = 90.00°, β = 90.00°, γ = 90.00°
With the nearest neighbours (Å) after each atom.
Space group Fm-3m (No. 225)
Symmetry-distinct sites (fractional):
K  0.2500  0.2500  0.2500 (multiplicity 8)  12 I 4.11
In  0.0000  0.0000  0.0000 (multiplicity 4)  6 I 2.91
Ag  0.0000  0.0000  0.5000 (multiplicity 4)  6 I 2.89
I  0.0000  0.0000  0.2509 (multiplicity 24)  1 Ag 2.89, 1 In 2.91

First-principles (PBEsol) data for an optimized crystal structure of InAgIN2, as listed in Alexandria.

Results
Raw formation energy in eV/atom: 1.58

a = 4.3233 Å, b = 4.3233 Å, c = 5.8774 Å
α = 90.00°, β = 90.00°, γ = 90.00°
With the nearest neighbours (Å) after each atom.
Space group P4/mmm (No. 123)
Symmetry-distinct sites (fractional):
In  0.0000  0.0000  0.0000 (multiplicity 1)  4 I 3.06
Ag  0.5000  0.5000  0.5000 (multiplicity 1)  4 N 2.16
I  0.5000  0.5000  0.0000 (multiplicity 1)  2 Ag 2.94, 4 In 3.06
N  0.0000  0.5000  0.5000 (multiplicity 2)  2 Ag 2.16

First-principles (PBEsol) data for an optimized crystal structure of InAg2PbI, as listed in Alexandria.

Results
Raw formation energy in eV/atom: 0.74

a = 5.2074 Å, b = 5.2074 Å, c = 6.1555 Å
α = 90.00°, β = 90.00°, γ = 90.00°
With the nearest neighbours (Å) after each atom.
Space group P4/mmm (No. 123)
Symmetry-distinct sites (fractional):
In  0.0000  0.0000  0.0000 (multiplicity 1)  2 I 3.08
Ag  0.0000  0.5000  0.5000 (multiplicity 2)  2 I 2.60
Pb  0.5000  0.5000  0.0000 (multiplicity 1)  4 In 3.68, 8 Ag 4.03
I  0.0000  0.0000  0.5000 (multiplicity 1)  4 Ag 2.60

First-principles (PBEsol) data for an optimized crystal structure of InAgTe2I, as listed in Alexandria.

Results
Raw formation energy in eV/atom: 0.23

a = 5.3721 Å, b = 5.3721 Å, c = 5.6320 Å
α = 90.00°, β = 90.00°, γ = 90.00°
With the nearest neighbours (Å) after each atom.
Space group P4/mmm (No. 123)
Symmetry-distinct sites (fractional):
In  0.0000  0.0000  0.0000 (multiplicity 1)  4 I 3.80, 8 Te 3.89
Ag  0.5000  0.5000  0.5000 (multiplicity 1)  4 Te 2.69, 2 I 2.82
Te  0.0000  0.5000  0.5000 (multiplicity 2)  2 Ag 2.69
I  0.5000  0.5000  0.0000 (multiplicity 1)  2 Ag 2.82

First-principles (PBEsol) data for an optimized crystal structure of AgSbIrI2, as listed in Alexandria.

Results
Raw formation energy in eV/atom: 0.58

a = 5.5552 Å, b = 5.5552 Å, c = 4.8825 Å
α = 90.00°, β = 90.00°, γ = 90.00°
With the nearest neighbours (Å) after each atom.
Space group P4/mmm (No. 123)
Symmetry-distinct sites (fractional):
Ag  0.0000  0.0000  0.0000 (multiplicity 1)  8 I 3.70, 4 Sb 3.93
Sb  0.5000  0.5000  0.0000 (multiplicity 1)  2 Ir 2.44
Ir  0.5000  0.5000  0.5000 (multiplicity 1)  2 Sb 2.44
I  0.0000  0.5000  0.5000 (multiplicity 2)  2 Ir 2.78

First-principles (PBEsol) data for an optimized crystal structure of AgSb2IrI, as listed in Alexandria.

Results
Raw formation energy in eV/atom: 0.63

a = 5.0346 Å, b = 5.0346 Å, c = 5.6483 Å
α = 90.00°, β = 90.00°, γ = 90.00°
With the nearest neighbours (Å) after each atom.
Space group P4/mmm (No. 123)
Symmetry-distinct sites (fractional):
Ag  0.0000  0.0000  0.0000 (multiplicity 1)  4 I 3.56, 8 Sb 3.78
Sb  0.0000  0.5000  0.5000 (multiplicity 2)  2 Ir 2.52
Ir  0.5000  0.5000  0.5000 (multiplicity 1)  4 Sb 2.52
I  0.5000  0.5000  0.0000 (multiplicity 1)  2 Ir 2.82

First-principles (PBEsol) data for an optimized crystal structure of K2NdAgI6, as listed in Alexandria.

Results
Raw formation energy in eV/atom: -1.10

a = 11.9594 Å, b = 11.9594 Å, c = 11.9594 Å
α = 90.00°, β = 90.00°, γ = 90.00°
With the nearest neighbours (Å) after each atom.
Space group Fm-3m (No. 225)
Symmetry-distinct sites (fractional):
K  0.2500  0.2500  0.2500 (multiplicity 8)  12 I 4.23
Nd  0.0000  0.0000  0.0000 (multiplicity 4)  6 I 3.05
Ag  0.0000  0.0000  0.5000 (multiplicity 4)  6 I 2.93
I  0.0000  0.0000  0.2552 (multiplicity 24)  1 Ag 2.93, 1 Nd 3.05

| no. | raw total energy (eV/atom) | M_tot (μB per cell) | V (Å³/cell) |
| --- | --- | --- | --- |
| 1 | -4.202 | 0.0 | 120.40 |
| 2 | -4.470 | 0.0 | 44.82 |
| 3 | -3.920 | 0.0 | 1228.22 |
| 4 | -4.479 | 0.0 | 94.52 |
| 5 | -4.470 | 0.0 | 382.83 |
| 6 | -6.379 | 0.0 | 325.60 |
| 7 | -4.462 | 0.0 | 349.81 |
| 8 | -3.598 | 0.0 | 201.09 |
| 9 | -6.658 | 0.0 | 320.97 |
| 10 | -4.810 | 0.0 | 135.05 |
| 11 | -4.754 | 0.0 | 134.81 |
| 12 | -4.938 | 0.0 | 362.28 |
| 13 | -2.019 | 0.0 | 229.07 |
| 14 | -2.665 | 0.0 | 1567.84 |
| 15 | -3.447 | 3.6 | 109.85 |
| 16 | -2.334 | 0.0 | 166.92 |
| 17 | -2.795 | 0.0 | 162.53 |
| 18 | -3.664 | 0.0 | 150.67 |
| 19 | -4.172 | 0.0 | 143.17 |
| 20 | -3.232 | 0.0 | 1710.51 |